Below is a relaxed Tb4Bi5H2 crystal, with properties calculated at the GGA-PBE level.

Structure (POSCAR):
```
Tb4Bi5H2
1.0
-0.281 0.836 -3.897
0.461 -8.809 -1.923
-8.418 -0.255 2.601
Bi Tb H
5 4 2
Direct
0.500 0.000 0.000 Bi
0.133 0.448 0.267 Bi
0.829 0.000 0.659 Bi
0.867 0.552 0.733 Bi
0.171 0.000 0.341 Bi
0.709 0.704 0.418 Tb
0.291 0.296 0.582 Tb
0.969 0.270 0.939 Tb
0.031 0.730 0.061 Tb
0.418 0.295 0.835 H
0.582 0.705 0.165 H
```

## Properties
Total DFT energy (no corrections)   -4.57 eV/atom
Volume   28.05 Å³ per atom